1.
First-principles (PBE) data for crystalline KAu2Br at its relaxed geometry, as listed in Alexandria.

Cell: 7.700 4.753 7.102 Å, 90.00 103.96 90.00°
Space group Cm (No. 8)
Unique sites:
K1 0.000 0.000 0.000 [2 per cell]
Au1 0.227 0.500 0.334 [2 per cell]
Au2 0.412 0.000 0.417 [2 per cell]
Br1 0.287 0.000 0.739 [2 per cell]

Computed properties:
raw total energy	-2.698	eV per atom
crystal system	monoclinic
polymorph energy (0 for the lowest one)	0.36	eV per formula unit


2.
First-principles (PBE) data for crystalline HfGe3P at its relaxed geometry, as listed in Alexandria.

Cell: 5.154 5.154 5.154 Å, 90.00 90.00 90.00°
Space group Pm-3m (No. 221)
Unique sites:
Hf1 0.000 0.000 0.000 [1 per cell]
Ge1 0.000 0.000 0.500 [3 per cell]
P1 0.500 0.500 0.500 [1 per cell]

Computed properties:
raw total energy	-4.913	eV per atom
crystal system	cubic
polymorph energy (0 for the lowest one)	1.38	eV per formula unit
ΔE_f	4.650	eV per formula unit


3.
First-principles (PBE) data for crystalline Ce6HgPt2 at its relaxed geometry, as listed in Alexandria.

Cell: 10.548 4.747 8.968 Å, 90.00 91.83 90.00°
Space group C2/m (No. 12)
Unique sites:
Ce1 0.062 0.000 0.360 [4 per cell]
Ce2 0.097 0.500 0.685 [4 per cell]
Ce3 0.203 0.500 0.082 [4 per cell]
Hg1 0.000 0.000 0.000 [2 per cell]
Pt1 0.240 0.500 0.390 [4 per cell]

Computed properties:
raw total energy	-5.871	eV per atom
crystal system	monoclinic
ΔE_f	-4.855	eV per formula unit


4.
First-principles (PBE) data for crystalline HfHgN2F at its relaxed geometry, as listed in Alexandria.

Cell: 4.179 4.179 4.206 Å, 90.00 90.00 90.00°
Space group P4/mmm (No. 123)
Unique sites:
Hf1 0.000 0.000 0.000 [1 per cell]
Hg1 0.500 0.500 0.500 [1 per cell]
N1 0.000 0.500 0.500 [2 per cell]
F1 0.500 0.500 0.000 [1 per cell]

Computed properties:
raw total energy	-4.805	eV per atom
crystal system	tetragonal
polymorph energy (0 for the lowest one)	7.63	eV per formula unit


5.
First-principles (PBE) data for crystalline Sm2Y5Sc2 at its relaxed geometry, as listed in Alexandria.

Cell: 19.462 8.386 6.989 Å, 90.00 90.00 90.00°
Space group Ima2 (No. 46)
Unique sites:
Sm1 0.000 0.000 0.000 [4 per cell]
Sm2 0.250 0.055 0.958 [4 per cell]
Y1 0.109 0.225 0.707 [8 per cell]
Y2 0.164 0.749 0.707 [8 per cell]
Y3 0.250 0.048 0.454 [4 per cell]
Sc1 0.041 0.633 0.960 [8 per cell]

Computed properties:
raw total energy	-5.837	eV per atom
crystal system	orthorhombic
polymorph energy (0 for the lowest one)	1.72	eV per formula unit
ΔE_f	1.891	eV per formula unit


6.
First-principles (PBE) data for crystalline Be2CrCl at its relaxed geometry, as listed in Alexandria.

Cell: 2.8036 2.8036 21.2551 Å, 90.00 90.00 120.00°
Space group R-3m (No. 166, hexagonal axes)
Unique sites:
Be1 0.0000 0.0000 0.2495 [6 per cell]
Cr1 0.0000 0.0000 0.0000 [3 per cell]
Cl1 0.0000 0.0000 0.5000 [3 per cell]

Computed properties:
raw total energy	-4.306	eV per atom
crystal system	trigonal
polymorph energy (0 for the lowest one)	0.92	eV per formula unit


7.
First-principles (PBE) data for crystalline Pm2Nd8Sm at its relaxed geometry, as listed in Alexandria.

Cell: 17.009 6.860 6.811 Å, 90.00 100.31 90.00°
Space group C2/m (No. 12)
Unique sites:
Pm1 0.199 0.000 0.307 [4 per cell]
Nd1 0.088 0.262 0.907 [8 per cell]
Nd2 0.091 0.500 0.412 [4 per cell]
Nd3 0.244 0.000 0.816 [4 per cell]
Sm1 0.000 0.000 0.500 [2 per cell]

Computed properties:
raw total energy	-4.608	eV per atom
crystal system	monoclinic
polymorph energy (0 for the lowest one)	1.54	eV per formula unit
ΔE_f	1.678	eV per formula unit


8.
First-principles (PBE) data for crystalline PrTmAgPd at its relaxed geometry, as listed in Alexandria.

Cell: 7.249 7.249 7.249 Å, 90.00 90.00 90.00°
Space group F-43m (No. 216)
Unique sites:
Pr1 0.000 0.000 0.000 [4 per cell]
Tm1 0.000 0.000 0.500 [4 per cell]
Ag1 0.250 0.250 0.750 [4 per cell]
Pd1 0.250 0.250 0.250 [4 per cell]

Computed properties:
raw total energy	-4.860	eV per atom
crystal system	cubic
ΔE_f	-2.146	eV per formula unit


9.
First-principles (PBE) data for crystalline CeMgZrSc at its relaxed geometry, as listed in Alexandria.

Cell: 7.332 7.332 7.332 Å, 90.00 90.00 90.00°
Space group F-43m (No. 216)
Unique sites:
Ce1 0.000 0.000 0.000 [4 per cell]
Mg1 0.250 0.250 0.750 [4 per cell]
Zr1 0.250 0.250 0.250 [4 per cell]
Sc1 0.000 0.000 0.500 [4 per cell]

Computed properties:
raw total energy	-5.485	eV per atom
crystal system	cubic
ΔE_f	0.468	eV per formula unit


10.
First-principles (PBE) data for crystalline TlBi2Rh2 at its relaxed geometry, as listed in Alexandria.

Cell: 8.404 8.404 3.257 Å, 90.00 90.00 90.00°
Space group P4/mbm (No. 127)
Unique sites:
Tl1 0.000 0.000 0.000 [2 per cell]
Bi1 0.147 0.353 0.000 [4 per cell]
Rh1 0.132 0.632 0.500 [4 per cell]

Computed properties:
raw total energy	-4.846	eV per atom
crystal system	tetragonal
polymorph energy (0 for the lowest one)	0.98	eV per formula unit
ΔE_f	0.600	eV per formula unit


11.
First-principles (PBE) data for crystalline LiSbCl2 at its relaxed geometry, as listed in Alexandria.

Cell: 3.5297 3.5297 27.3995 Å, 90.00 90.00 120.00°
Space group R-3m (No. 166, hexagonal axes)
Unique sites:
Li1 0.0000 0.0000 0.0000 [3 per cell]
Sb1 0.0000 0.0000 0.5000 [3 per cell]
Cl1 0.0000 0.0000 0.0789 [6 per cell]

Computed properties:
raw total energy	-3.079	eV per atom
crystal system	trigonal
polymorph energy (0 for the lowest one)	1.72	eV per formula unit


12.
First-principles (PBE) data for crystalline Y2SiCl at its relaxed geometry, as listed in Alexandria.

Cell: 4.1260 4.1260 20.1562 Å, 90.00 90.00 120.00°
Space group R-3m (No. 166, hexagonal axes)
Unique sites:
Y1 0.0000 0.0000 0.2395 [6 per cell]
Si1 0.0000 0.0000 0.5000 [3 per cell]
Cl1 0.0000 0.0000 0.0000 [3 per cell]

Computed properties:
raw total energy	-6.191	eV per atom
crystal system	trigonal
polymorph energy (0 for the lowest one)	0.00	eV per formula unit